Below is a relaxed LiPrGa2 crystal, with properties calculated at the PBE-GGA level.

Results
total moment	0.00	Bohr magnetons per cell
space group	P4/mmm (123)
N(E_F)	1.9	states/eV/f.u.
ΔE to the lowest computed polymorph	29	kJ/mol of formula units
final energy	-14.4	eV/f.u.

extended XYZ file:
```
4
Lattice="3.4490 0.0000 0.0000 0.0000 3.4490 0.0000 0.0000 0.0000 6.9800" Properties=species:S:1:pos:R:3 pbc="T T T"
Pr 1.7245 1.7245 3.4900
Ga 0.0000 0.0000 5.6165
Ga 0.0000 0.0000 1.3635
Li 1.7245 1.7245 0.0000
```